Record 1
# NaRhS2, optimized geometry, DFT PBE-GGA
# E: -4.3599 eV/atom
# energy relative to the elements, uncorrected: -0.129 eV/atom
data_NaRhS2
_cell_length_a 4.446
_cell_length_b 4.446
_cell_length_c 4.446
_cell_angle_alpha 60.00
_cell_angle_beta 60.00
_cell_angle_gamma 60.00
_space_group_name_H-M_alt 'P 1'
_space_group_IT_number 1
loop_
_space_group_symop_operation_xyz
'x,y,z'
loop_
_atom_site_label
_atom_site_type_symbol
_atom_site_fract_x
_atom_site_fract_y
_atom_site_fract_z
S1 S 0.250 0.250 0.250
Rh1 Rh 0.500 0.500 0.500
S2 S 0.750 0.750 0.750
Na1 Na 0.000 0.000 0.000


Record 2
# Na2RhS, optimized geometry, DFT PBE-GGA
# E: -3.4694 eV/atom
# energy relative to the elements, uncorrected: 0.060 eV/atom
data_Na2RhS
_cell_length_a 3.830
_cell_length_b 3.830
_cell_length_c 10.053
_cell_angle_alpha 79.02
_cell_angle_beta 79.02
_cell_angle_gamma 90.00
_space_group_name_H-M_alt 'P 1'
_space_group_IT_number 1
loop_
_space_group_symop_operation_xyz
'x,y,z'
loop_
_atom_site_label
_atom_site_type_symbol
_atom_site_fract_x
_atom_site_fract_y
_atom_site_fract_z
S1 S 0.250 0.750 0.500
Rh1 Rh 0.750 0.250 0.500
Na1 Na 0.875 0.862 0.750
Na2 Na 0.612 0.125 0.250
Na3 Na 0.375 0.388 0.750
Na4 Na 0.138 0.625 0.250
Rh2 Rh 0.000 0.000 0.000
S2 S 0.500 0.500 0.000


Record 3
# NaRhS3, optimized geometry, DFT PBE-GGA
# energy above the lowest structure with this stoichiometry: 0.0 kJ/mol of atoms
# E: -4.2052 eV/atom
# energy relative to the elements, uncorrected: 0.005 eV/atom
data_NaRhS3
_cell_length_a 4.729
_cell_length_b 4.729
_cell_length_c 4.729
_cell_angle_alpha 90.00
_cell_angle_beta 90.00
_cell_angle_gamma 90.00
_space_group_name_H-M_alt 'P 1'
_space_group_IT_number 1
loop_
_space_group_symop_operation_xyz
'x,y,z'
loop_
_atom_site_label
_atom_site_type_symbol
_atom_site_fract_x
_atom_site_fract_y
_atom_site_fract_z
Na1 Na 0.500 0.500 0.500
Rh1 Rh 0.000 0.000 0.000
S1 S 0.000 0.000 0.500
S2 S 0.500 0.000 0.000
S3 S 0.000 0.500 0.000


Record 4
# NaRh3S, optimized geometry, DFT PBE-GGA
# energy above the lowest structure with this stoichiometry: 0.0 kJ/mol of atoms
# E: -5.4871 eV/atom
# energy relative to the elements, uncorrected: 0.013 eV/atom
data_NaRh3S
_cell_length_a 4.416
_cell_length_b 4.416
_cell_length_c 4.416
_cell_angle_alpha 90.00
_cell_angle_beta 90.00
_cell_angle_gamma 90.00
_space_group_name_H-M_alt 'P 1'
_space_group_IT_number 1
loop_
_space_group_symop_operation_xyz
'x,y,z'
loop_
_atom_site_label
_atom_site_type_symbol
_atom_site_fract_x
_atom_site_fract_y
_atom_site_fract_z
S1 S 0.000 0.000 0.000
Na1 Na 0.500 0.500 0.500
Rh1 Rh 0.000 0.000 0.500
Rh2 Rh 0.500 0.000 0.000
Rh3 Rh 0.000 0.500 0.000